[1]
Density functional theory data (PBE) for an optimized crystal structure of Tb4Nd4Dy5.

Properties
E_form	17	meV per atom

Geometry as CIF:
```
data_Tb4Nd4Dy5
_symmetry_space_group_name_H-M 'I 4/m'
_symmetry_Int_Tables_number 87
_symmetry_space_group_name_Hall '-I 4'
_cell_length_a 12.964
_cell_length_b 12.964
_cell_length_c 5.061
_cell_angle_alpha 90.00
_cell_angle_beta 90.00
_cell_angle_gamma 90.00
loop_
_atom_site_label
_atom_site_type_symbol
_atom_site_fract_x
_atom_site_fract_y
_atom_site_fract_z
Tb1 Tb 0.153 0.229 0.000
Nd1 Nd 0.078 0.617 0.000
Dy1 Dy 0.000 0.000 0.000
Dy2 Dy 0.039 0.810 0.500
```

[2]
Density functional theory data (PBE) for an optimized crystal structure of MnSi.

Properties
formation energy without anion corrections	-295.4	meV per atom

Geometry as CIF:
```
data_MnSi
_symmetry_space_group_name_H-M 'P -6 m 2'
_symmetry_Int_Tables_number 187
_symmetry_space_group_name_Hall 'P -6 2'
_cell_length_a 2.7610
_cell_length_b 2.7610
_cell_length_c 3.5149
_cell_angle_alpha 90.00
_cell_angle_beta 90.00
_cell_angle_gamma 120.00
loop_
_atom_site_label
_atom_site_type_symbol
_atom_site_fract_x
_atom_site_fract_y
_atom_site_fract_z
Mn1 Mn 0.0000 0.0000 0.0000
Si1 Si 0.3333 0.6667 0.5000
```

[3]
Density functional theory data (PBE) for an optimized crystal structure of LiTl3Br4.

Properties
formation energy without anion corrections	-991.9	meV per atom
offset from the most stable computed form	5.2	meV per atom

Geometry as CIF:
```
data_LiTl3Br4
_symmetry_space_group_name_H-M 'P m n 21'
_symmetry_Int_Tables_number 31
_symmetry_space_group_name_Hall 'P 2ac -2'
_cell_length_a 9.512
_cell_length_b 9.849
_cell_length_c 6.594
_cell_angle_alpha 90.00
_cell_angle_beta 90.00
_cell_angle_gamma 90.00
loop_
_atom_site_label
_atom_site_type_symbol
_atom_site_fract_x
_atom_site_fract_y
_atom_site_fract_z
Li1 Li 0.000 0.202 0.000
Tl1 Tl 0.000 0.899 0.436
Tl2 Tl 0.203 0.657 0.931
Br1 Br 0.000 0.226 0.395
Br2 Br 0.000 0.945 0.935
Br3 Br 0.237 0.322 0.922
```

[4]
Density functional theory data (PBE) for an optimized crystal structure of Ce3SbOs.

Properties
formation energy without anion corrections	-493.4	meV per atom

Geometry as CIF:
```
data_Ce3SbOs
_symmetry_space_group_name_H-M 'P 1 21/m 1'
_symmetry_Int_Tables_number 11
_symmetry_space_group_name_Hall '-P 2yb'
_cell_length_a 7.995
_cell_length_b 4.355
_cell_length_c 8.485
_cell_angle_alpha 90.00
_cell_angle_beta 114.17
_cell_angle_gamma 90.00
loop_
_atom_site_label
_atom_site_type_symbol
_atom_site_fract_x
_atom_site_fract_y
_atom_site_fract_z
Ce1 Ce 0.022 0.250 0.246
Ce2 Ce 0.351 0.750 0.592
Ce3 Ce 0.368 0.250 0.931
Sb1 Sb 0.296 0.750 0.186
Os1 Os 0.114 0.250 0.611
```

[5]
Density functional theory data (PBE) for an optimized crystal structure of InSbRu2.

Properties
formation energy without anion corrections	92.1	meV per atom

Geometry as CIF:
```
data_InSbRu2
_symmetry_space_group_name_H-M 'C 1 m 1'
_symmetry_Int_Tables_number 8
_symmetry_space_group_name_Hall 'C -2y'
_cell_length_a 9.853
_cell_length_b 3.168
_cell_length_c 4.619
_cell_angle_alpha 90.00
_cell_angle_beta 105.52
_cell_angle_gamma 90.00
loop_
_atom_site_label
_atom_site_type_symbol
_atom_site_fract_x
_atom_site_fract_y
_atom_site_fract_z
In1 In 0.000 0.000 0.000
Sb1 Sb 0.237 0.000 0.600
Ru1 Ru 0.001 0.500 0.503
Ru2 Ru 0.243 0.500 0.101
```

[6]
Density functional theory data (PBE) for an optimized crystal structure of Zr3CSe2.

Properties
formation energy without anion corrections	-986.5	meV per atom

Geometry as CIF:
```
data_Zr3CSe2
_symmetry_space_group_name_H-M 'C 1 2/c 1'
_symmetry_Int_Tables_number 15
_symmetry_space_group_name_Hall '-C 2yc'
_cell_length_a 6.895
_cell_length_b 11.015
_cell_length_c 6.186
_cell_angle_alpha 90.00
_cell_angle_beta 110.62
_cell_angle_gamma 90.00
loop_
_atom_site_label
_atom_site_type_symbol
_atom_site_fract_x
_atom_site_fract_y
_atom_site_fract_z
Zr1 Zr 0.177 0.071 0.499
Zr2 Zr 0.250 0.250 0.000
C1 C 0.000 0.091 0.750
Se1 Se 0.000 0.270 0.250
Se2 Se 0.000 0.427 0.750
```

[7]
Density functional theory data (PBE) for an optimized crystal structure of NaAlTl2Cl6.

Properties
formation energy without anion corrections	-1388.5	meV per atom

Geometry as CIF:
```
data_NaAlTl2Cl6
_symmetry_space_group_name_H-M 'P -3 m 1'
_symmetry_Int_Tables_number 164
_symmetry_space_group_name_Hall '-P 3 2"'
_cell_length_a 7.1064
_cell_length_b 7.1064
_cell_length_c 6.8443
_cell_angle_alpha 90.00
_cell_angle_beta 90.00
_cell_angle_gamma 120.00
loop_
_atom_site_label
_atom_site_type_symbol
_atom_site_fract_x
_atom_site_fract_y
_atom_site_fract_z
Na1 Na 0.0000 0.0000 0.0000
Al1 Al 0.0000 0.0000 0.5000
Tl1 Tl 0.3333 0.6667 0.3578
Cl1 Cl 0.1554 0.3109 0.7005
```

[8]
Density functional theory data (PBE) for an optimized crystal structure of Pm2PdPb.

Properties
E_form	-632	meV per atom

Geometry as CIF:
```
data_Pm2PdPb
_symmetry_space_group_name_H-M 'P 4/m m m'
_symmetry_Int_Tables_number 123
_symmetry_space_group_name_Hall '-P 4 2'
_cell_length_a 3.641
_cell_length_b 3.641
_cell_length_c 8.045
_cell_angle_alpha 90.00
_cell_angle_beta 90.00
_cell_angle_gamma 90.00
loop_
_atom_site_label
_atom_site_type_symbol
_atom_site_fract_x
_atom_site_fract_y
_atom_site_fract_z
Pm1 Pm 0.000 0.000 0.218
Pd1 Pd 0.500 0.500 0.000
Pb1 Pb 0.500 0.500 0.500
```

Number 1: Fermi-level density of states 35.483 states/eV/cell, DFT total energy -4.645 eV per atom. Number 2: Fermi-level density of states 1.768 states/eV/cell, DFT total energy -7.592 eV per atom. Number 3: Fermi-level density of states 0.000 states/eV/cell, DFT total energy -2.955 eV per atom. Number 4: Fermi-level density of states 27.471 states/eV/cell, DFT total energy -7.124 eV per atom. Number 5: Fermi-level density of states 7.277 states/eV/cell, DFT total energy -6.261 eV per atom. Number 6: Fermi-level density of states 13.402 states/eV/cell, DFT total energy -7.959 eV per atom. Number 7: Fermi-level density of states 0.000 states/eV/cell, DFT total energy -3.476 eV per atom. Number 8: Fermi-level density of states 3.157 states/eV/cell, DFT total energy -5.232 eV per atom.